[1]
First-principles (PBE-GGA) data for a relaxed structure of BaNbAs2Se, as listed in Alexandria.

a = 5.052 Å, b = 5.052 Å, c = 5.280 Å
α = 90.00°, β = 90.00°, γ = 90.00°
Space group P4/mmm (No. 123)
Symmetry-distinct sites (fractional):
Ba  0.000  0.000  0.000 [1 per cell]
Nb  0.500  0.500  0.500 [1 per cell]
As  0.000  0.500  0.500 [2 per cell]
Se  0.500  0.500  0.000 [1 per cell]

Output
The calculation puts the calculated total energy at -28.4 eV/cell. Its polymorph energy (0 for the lowest one) is 0 meV per atom. The value obtained for the formation energy from raw total energies is -353 kJ/mol of formula units.

=====

[2]
First-principles (PBE-GGA) data for a relaxed structure of NaSbO2, as listed in Alexandria.

a = 7.583 Å, b = 7.727 Å, c = 5.641 Å
α = 90.00°, β = 128.88°, γ = 90.00°
Space group C2/c (No. 15)
Symmetry-distinct sites (fractional):
Na  0.000  0.123  0.250 [4 per cell]
Sb  0.000  0.392  0.750 [4 per cell]
O  0.202  0.442  0.247 [8 per cell]

Output
The calculation puts the calculated total energy at -85.6 eV/cell. The value obtained for the formation energy from raw total energies is -582 kJ/mol of formula units.

=====

[3]
First-principles (PBE-GGA) data for a relaxed structure of DyTl2GeTe4, as listed in Alexandria.

a = 7.773 Å, b = 4.384 Å, c = 8.186 Å
α = 90.00°, β = 108.55°, γ = 90.00°
Space group P2/m (No. 10)
Symmetry-distinct sites (fractional):
Dy  0.000  0.000  0.000 [1 per cell]
Tl  0.000  0.500  0.500 [1 per cell]
Tl  0.500  0.000  0.500 [1 per cell]
Ge  0.500  0.500  0.000 [1 per cell]
Te  0.245  0.500  0.213 [2 per cell]
Te  0.265  0.000  0.788 [2 per cell]

Output
The calculation puts the calculated total energy at -31.0 eV/cell. The value obtained for the formation energy from raw total energies is -435 kJ/mol of formula units.

=====

[4]
First-principles (PBE-GGA) data for a relaxed structure of Rb2ScFeGe, as listed in Alexandria.

a = 6.529 Å, b = 6.529 Å, c = 4.637 Å
α = 90.00°, β = 90.00°, γ = 90.00°
Space group P4/mmm (No. 123)
Symmetry-distinct sites (fractional):
Rb  0.000  0.500  0.000 [2 per cell]
Sc  0.000  0.000  0.500 [1 per cell]
Fe  0.500  0.500  0.000 [1 per cell]
Ge  0.500  0.500  0.500 [1 per cell]

Output
The calculation puts the calculated total energy at -16.6 eV/cell. The energy of formation from the pure elements is 0.95 eV/atom.

=====

[5]
First-principles (PBE-GGA) data for a relaxed structure of LaNiHg4, as listed in Alexandria.

a = 8.334 Å, b = 8.334 Å, c = 8.334 Å
α = 90.00°, β = 90.00°, γ = 90.00°
Space group F-43m (No. 216)
Symmetry-distinct sites (fractional):
La  0.000  0.000  0.000 [4 per cell]
Ni  0.250  0.250  0.750 [4 per cell]
Hg  0.124  0.124  0.376 [16 per cell]

Output
The calculation puts the calculated total energy at -45.7 eV/cell. The energy of formation from the pure elements is 0.08 eV/atom.

=====

[6]
First-principles (PBE-GGA) data for a relaxed structure of Sm8GaSb2, as listed in Alexandria.

a = 19.251 Å, b = 4.947 Å, c = 7.172 Å
α = 90.00°, β = 99.60°, γ = 90.00°
Space group C2/m (No. 12)
Symmetry-distinct sites (fractional):
Sm  0.013  0.000  0.270 [4 per cell]
Sm  0.094  0.500  0.991 [4 per cell]
Sm  0.158  0.500  0.526 [4 per cell]
Sm  0.216  0.000  0.847 [4 per cell]
Ga  0.000  0.500  0.500 [2 per cell]
Sb  0.180  0.000  0.270 [4 per cell]

Output
The calculation puts the calculated total energy at -108.2 eV/cell. The value obtained for the formation energy from raw total energies is -489 kJ/mol of formula units.

=====

[7]
First-principles (PBE-GGA) data for a relaxed structure of Os2RuRh, as listed in Alexandria.

a = 9.022 Å, b = 2.707 Å, c = 4.717 Å
α = 90.00°, β = 99.85°, γ = 90.00°
Space group Cm (No. 8)
Symmetry-distinct sites (fractional):
Os  0.000  0.000  0.000 [2 per cell]
Os  0.247  0.500  0.245 [2 per cell]
Ru  0.253  0.000  0.754 [2 per cell]
Rh  0.498  0.000  0.499 [2 per cell]

Output
The calculation puts the calculated total energy at -77.4 eV/cell. The energy of formation from the pure elements is 0.09 eV/atom. Its polymorph energy (0 for the lowest one) is 7 meV per atom.

=====

[8]
First-principles (PBE-GGA) data for a relaxed structure of Ac3Nd8Ho, as listed in Alexandria.

a = 6.737 Å, b = 9.577 Å, c = 14.356 Å
α = 90.00°, β = 90.00°, γ = 90.00°
Space group I222 (No. 23)
Symmetry-distinct sites (fractional):
Ac  0.000  0.000  0.000 [2 per cell]
Ac  0.000  0.500  0.368 [4 per cell]
Nd  0.131  0.343  0.899 [8 per cell]
Nd  0.140  0.149  0.706 [8 per cell]
Ho  0.000  0.000  0.500 [2 per cell]

Output
The calculation puts the calculated total energy at -104.1 eV/cell. The energy of formation from the pure elements is 0.25 eV/atom.

=====

[9]
First-principles (PBE-GGA) data for a relaxed structure of BaMg2W, as listed in Alexandria.

a = 3.107 Å, b = 4.044 Å, c = 8.017 Å
α = 90.00°, β = 90.14°, γ = 90.00°
Space group P2/m (No. 10)
Symmetry-distinct sites (fractional):
Ba  0.000  0.000  0.000 [1 per cell]
Mg  0.498  0.500  0.322 [2 per cell]
W  0.000  0.000  0.500 [1 per cell]

Output
The calculation puts the calculated total energy at -15.3 eV/cell. The energy of formation from the pure elements is 0.70 eV/atom. Its polymorph energy (0 for the lowest one) is 82 meV per atom.

=====

[10]
First-principles (PBE-GGA) data for a relaxed structure of PrThCo2, as listed in Alexandria.

a = 3.9366 Å, b = 3.9366 Å, c = 19.6957 Å
α = 90.00°, β = 90.00°, γ = 120.00°
Space group R-3m (No. 166, hexagonal axes)
Symmetry-distinct sites (fractional):
Pr  0.0000  0.0000  0.0000 [3 per cell]
Th  0.0000  0.0000  0.5000 [3 per cell]
Co  0.0000  0.0000  0.2441 [6 per cell]

Output
The calculation puts the calculated total energy at -79.3 eV/cell. The energy of formation from the pure elements is 0.00 eV/atom. Its polymorph energy (0 for the lowest one) is 162 meV per atom.

=====

[11]
First-principles (PBE-GGA) data for a relaxed structure of Tl3Cu2PdI8, as listed in Alexandria.

a = 7.9594 Å, b = 7.9594 Å, c = 9.7440 Å
α = 90.00°, β = 90.00°, γ = 120.00°
Space group P-3m1 (No. 164)
Symmetry-distinct sites (fractional):
Tl  0.0000  0.0000  0.0000 [1 per cell]
Tl  0.3333  0.6667  0.6028 [2 per cell]
Cu  0.3333  0.6667  0.2033 [2 per cell]
Pd  0.0000  0.0000  0.5000 [1 per cell]
I  0.1618  0.3235  0.3236 [6 per cell]
I  0.3333  0.6667  0.9496 [2 per cell]

Output
The calculation puts the calculated total energy at -37.1 eV/cell. The value obtained for the formation energy from raw total energies is -410 kJ/mol of formula units.

=====

[12]
First-principles (PBE-GGA) data for a relaxed structure of Ac5PmPr2Tm, as listed in Alexandria.

a = 8.502 Å, b = 8.502 Å, c = 20.558 Å
α = 90.00°, β = 90.00°, γ = 90.00°
Space group I4/mcm (No. 140)
Symmetry-distinct sites (fractional):
Ac  0.000  0.000  0.000 [4 per cell]
Ac  0.226  0.274  0.139 [16 per cell]
Pm  0.000  0.000  0.250 [4 per cell]
Pr  0.123  0.377  0.500 [8 per cell]
Tm  0.000  0.500  0.250 [4 per cell]

Output
The calculation puts the calculated total energy at -147.0 eV/cell. The energy of formation from the pure elements is 0.29 eV/atom.

=====

[13]
First-principles (PBE-GGA) data for a relaxed structure of Ac3ThTe6, as listed in Alexandria.

a = 13.071 Å, b = 4.601 Å, c = 13.546 Å
α = 90.00°, β = 107.31°, γ = 90.00°
Space group P2_1/m (No. 11)
Symmetry-distinct sites (fractional):
Ac  0.094  0.250  0.167 [2 per cell]
Ac  0.182  0.750  0.509 [2 per cell]
Ac  0.340  0.250  0.930 [2 per cell]
Th  0.458  0.250  0.311 [2 per cell]
Te  0.018  0.250  0.378 [2 per cell]
Te  0.091  0.250  0.922 [2 per cell]
Te  0.269  0.750  0.295 [2 per cell]
Te  0.322  0.750  0.753 [2 per cell]
Te  0.396  0.250  0.538 [2 per cell]
Te  0.418  0.750  0.114 [2 per cell]

Output
The calculation puts the calculated total energy at -105.6 eV/cell. Its polymorph energy (0 for the lowest one) is 0 meV per atom. The value obtained for the formation energy from raw total energies is -1372 kJ/mol of formula units.

=====

[14]
First-principles (PBE-GGA) data for a relaxed structure of HoEr2Sc5, as listed in Alexandria.

a = 6.833 Å, b = 10.638 Å, c = 11.829 Å
α = 90.00°, β = 90.00°, γ = 90.00°
Space group Fmm2 (No. 42)
Symmetry-distinct sites (fractional):
Ho  0.000  0.000  0.000 [4 per cell]
Er  0.000  0.245  0.670 [8 per cell]
Sc  0.000  0.000  0.499 [4 per cell]
Sc  0.248  0.000  0.254 [8 per cell]
Sc  0.250  0.250  0.417 [8 per cell]

Output
The calculation puts the calculated total energy at -180.9 eV/cell. The energy of formation from the pure elements is 0.02 eV/atom. Its polymorph energy (0 for the lowest one) is 0 meV per atom.

=====

[15]
First-principles (PBE-GGA) data for a relaxed structure of Ta3Nb8Rh2, as listed in Alexandria.

a = 12.786 Å, b = 7.995 Å, c = 5.219 Å
α = 90.00°, β = 111.75°, γ = 90.00°
Space group C2/m (No. 12)
Symmetry-distinct sites (fractional):
Ta  0.000  0.000  0.000 [2 per cell]
Ta  0.000  0.187  0.500 [4 per cell]
Nb  0.105  0.500  0.695 [4 per cell]
Nb  0.120  0.317  0.186 [8 per cell]
Nb  0.188  0.000  0.881 [4 per cell]
Rh  0.195  0.000  0.416 [4 per cell]

Output
The calculation puts the calculated total energy at -255.2 eV/cell. The energy of formation from the pure elements is 0.25 eV/atom.

=====

[16]
First-principles (PBE-GGA) data for a relaxed structure of LaTmSn, as listed in Alexandria.

a = 3.384 Å, b = 3.384 Å, c = 18.014 Å
α = 90.00°, β = 90.00°, γ = 90.00°
Space group I4mm (No. 107)
Symmetry-distinct sites (fractional):
La  0.000  0.000  0.000 [2 per cell]
Tm  0.000  0.000  0.646 [2 per cell]
Sn  0.000  0.000  0.818 [2 per cell]

Output
The calculation puts the calculated total energy at -25.6 eV/cell. The energy of formation from the pure elements is 0.20 eV/atom. Its polymorph energy (0 for the lowest one) is 835 meV per atom.

=====

[17]
First-principles (PBE-GGA) data for a relaxed structure of Ce2SmPaSe4, as listed in Alexandria.

a = 7.191 Å, b = 4.140 Å, c = 7.219 Å
α = 90.00°, β = 109.28°, γ = 90.00°
Space group P2/m (No. 10)
Symmetry-distinct sites (fractional):
Ce  0.000  0.000  0.000 [1 per cell]
Ce  0.000  0.500  0.500 [1 per cell]
Sm  0.500  0.000  0.500 [1 per cell]
Pa  0.500  0.500  0.000 [1 per cell]
Se  0.255  0.500  0.249 [2 per cell]
Se  0.256  0.000  0.753 [2 per cell]

Output
The calculation puts the calculated total energy at -53.3 eV/cell. The value obtained for the formation energy from raw total energies is -1279 kJ/mol of formula units.

=====

[18]
First-principles (PBE-GGA) data for a relaxed structure of SnMo2Cl, as listed in Alexandria.

a = 6.529 Å, b = 6.529 Å, c = 6.529 Å
α = 90.00°, β = 90.00°, γ = 90.00°
Space group Fm-3m (No. 225)
Symmetry-distinct sites (fractional):
Sn  0.000  0.000  0.000 [4 per cell]
Mo  0.250  0.250  0.250 [8 per cell]
Cl  0.000  0.000  0.500 [4 per cell]

Output
The calculation puts the calculated total energy at -97.7 eV/cell. Its polymorph energy (0 for the lowest one) is 0 meV per atom. The value obtained for the formation energy from raw total energies is 298 kJ/mol of formula units.

=====

[19]
First-principles (PBE-GGA) data for a relaxed structure of Rb3HO, as listed in Alexandria.

a = 5.521 Å, b = 5.521 Å, c = 5.521 Å
α = 90.00°, β = 90.00°, γ = 90.00°
Space group Pm-3m (No. 221)
Symmetry-distinct sites (fractional):
Rb  0.000  0.000  0.500 [3 per cell]
H  0.500  0.500  0.500 [1 per cell]
O  0.000  0.000  0.000 [1 per cell]

Output
The calculation puts the calculated total energy at -13.9 eV/cell. Its polymorph energy (0 for the lowest one) is 56 meV per atom.

=====

[20]
First-principles (PBE-GGA) data for a relaxed structure of Zn2GaOsI, as listed in Alexandria.

a = 4.724 Å, b = 4.724 Å, c = 4.859 Å
α = 90.00°, β = 90.00°, γ = 90.00°
Space group P4/mmm (No. 123)
Symmetry-distinct sites (fractional):
Zn  0.000  0.500  0.000 [2 per cell]
Ga  0.000  0.000  0.000 [1 per cell]
Os  0.000  0.000  0.500 [1 per cell]
I  0.500  0.500  0.500 [1 per cell]

Output
The calculation puts the calculated total energy at -13.5 eV/cell. The value obtained for the formation energy from raw total energies is 471 kJ/mol of formula units.